First-principles (PBE+U) data for a relaxed structure of VInSbF6, as listed in the Alexandria database.

Unit cell a=5.914 b=5.946 c=5.498 alpha=90.25 beta=90.19 gamma=59.96
Atoms (fractional coordinates):
V  0.666  0.667  0.509
In  0.000  0.999  0.010
Sb  0.334  0.333  0.453
F  0.947  0.341  0.317
F  0.405  0.035  0.692
F  0.563  0.406  0.693
F  0.034  0.562  0.693
F  0.340  0.712  0.317
F  0.712  0.945  0.315

Computed properties:
**D(E_F)**: 0.00 states/eV/cell
**VASP energy**: -46.0 eV/cell